## RbScMnF6 (GGA+U)

Data for RbScMnF6 after structural relaxation.

Output
Crystal system   triclinic
DOS at the Fermi energy   0.0 states/eV/cell
Energy   -6.198 eV per atom

extended XYZ file:
```
9
Lattice="5.701 -0.003 0.004 2.848 4.926 0.004 0.005 0.002 5.945" Properties=species:S:1:pos:R:3 pbc="T T T"
F 3.504 0.063 1.848
F 1.159 1.861 1.847
Mn 5.700 3.286 2.978
F 3.884 2.989 1.838
Rb 5.704 0.002 5.949
F 2.202 0.071 4.110
F 4.549 1.867 4.100
F 1.820 2.994 4.108
Sc 2.850 1.646 2.975
```